Tb5In2Ga2 PBE relaxed; ΔH_f (0 K) = -0.469 eV per atom; symmetry = No. 64; VASP energy = -38.90 eV per formula unit
1.0
-1.635 -1.192 7.430
7.641 0.363 1.740
-4.459 7.795 0.269
Tb Ga In
10 4 4
Cartesian
0.000 0.000 0.000
1.384 5.640 3.765
3.754 1.340 7.587
-0.374 4.999 7.266
-2.207 5.626 1.852
5.512 1.980 4.086
3.003 -0.415 4.585
0.163 1.326 5.674
1.921 1.966 2.174
-3.965 4.985 5.353
1.485 -0.912 7.219
0.268 -0.413 3.041
5.737 -0.416 6.129
4.520 0.083 1.951
-0.282 3.528 0.504
3.465 4.630 1.505
2.721 3.113 5.089
-1.174 3.853 4.350

=====

HoThPd PBE relaxed; ΔH_f (0 K) = -0.473 eV per atom; E above lowest polymorph = 0 meV/atom; symmetry = No. 59; VASP energy = -18.61 eV per formula unit
1.0
3.481 -0.846 0.576
-2.632 4.384 -0.515
1.606 -0.598 12.254
Pd Th Ho
2 2 2
Cartesian
0.615 0.736 3.081
1.839 2.204 9.234
-0.972 2.963 4.507
3.426 -0.023 7.808
2.882 0.050 11.212
-0.427 2.890 1.103

=====

Pm3Pr2Ag4 PBE relaxed; ΔH_f (0 K) = -0.126 eV per atom; symmetry = No. 64; VASP energy = -36.35 eV per formula unit
1.0
-2.152 1.282 6.565
-6.766 -3.780 -1.480
4.901 -8.587 -0.477
Ag Pm Pr
8 6 4
Cartesian
-3.320 -3.872 3.428
-2.731 -1.176 4.975
-2.361 -9.268 2.916
-1.285 -9.909 -0.366
-0.696 -7.213 1.180
1.415 -4.791 5.159
-1.655 -1.817 1.692
-5.431 -6.294 -0.551
-1.445 -3.848 5.918
-4.459 -1.249 2.542
-3.647 -6.596 1.973
-0.369 -4.489 2.636
0.000 0.000 0.000
-2.571 -7.237 -1.310
2.566 -6.728 2.155
-0.832 -7.385 4.929
-3.184 -3.700 -0.321
-6.582 -4.357 2.453

=====

La3Sm5Er2 PBE relaxed; ΔH_f (0 K) = 0.178 eV per atom; symmetry = No. 15; VASP energy = -45.72 eV per formula unit
1.0
8.817 1.808 -4.177
0.419 8.884 -4.217
-2.115 -2.338 10.783
Sm La Er
10 6 4
Cartesian
0.923 3.121 0.557
2.520 5.022 -2.873
3.526 6.230 -0.227
-0.644 5.613 2.489
6.199 5.234 1.832
3.596 2.124 2.616
7.766 2.741 -0.100
1.906 0.111 5.803
5.216 8.243 -3.414
4.601 3.332 5.262
6.080 4.894 -2.349
0.395 6.862 5.224
1.041 3.461 4.738
6.726 1.492 -2.835
7.140 1.977 3.098
-0.018 6.378 -0.709
5.278 -0.201 4.696
4.277 2.787 -0.597
1.844 8.556 -2.307
2.845 5.568 2.986